Below is a relaxed VTcI2 crystal, with properties calculated at the PBE level.

Structure (POSCAR):
```
VTcI2
1.0
-3.040 3.040 6.234
3.040 -3.040 6.234
3.040 3.040 -6.234
V Tc I
2 2 4
Direct
0.000 0.000 0.000
0.750 0.250 0.500
0.250 0.750 0.500
0.500 0.500 0.000
0.131 0.625 0.006
0.375 0.381 0.506
0.619 0.125 0.994
0.875 0.869 0.494
```

Values from the calculation:
formation energy (no corrections): 0.902 eV/atom
energy above the lowest structure with this stoichiometry: 0.000 eV per atom
symmetry: I-42d (122)